# NpOs5

A relaxed structure of NpOs5 (GGA-PBE, Alexandria).

Unit cell a=3.9548 b=3.9588 c=6.3305 alpha=108.22 beta=90.00 gamma=90.00
Atoms (fractional coordinates):
Os 0.5000 0.8262 0.6524
Os 0.5000 0.5000 0.0000
Os 0.0000 0.6769 0.3539
Os 0.0000 0.3231 0.6461
Np 0.0000 0.0000 0.0000
Os 0.5000 0.1738 0.3476

Values from the calculation:
- Space group: No. 65
- ΔH_f (0 K): 1.11 eV/f.u.
- Calculated total energy: -67.98 eV/cell
- Spin magnetization: 0.9 μB/f.u.